# 1
First-principles (meta-GGA SCAN) data for a PBEsol-optimized structure of Cs2KNdI6, as listed in Alexandria.

Calculated density (g cm⁻³): 3.95

abc: 12.670 12.670 12.670
angles: 90.00 90.00 90.00
Space group Fm-3m (No. 225)
Inequivalent atoms, fractional coordinates:
Cs: 0.250 0.250 0.250
K: 0.000 0.000 0.000
Nd: 0.000 0.000 0.500
I: 0.000 0.000 0.259

# 2
First-principles (meta-GGA SCAN) data for a PBEsol-optimized structure of Cs2KPrI6, as listed in Alexandria.

Calculated density (g cm⁻³): 3.90

abc: 12.713 12.713 12.713
angles: 90.00 90.00 90.00
Space group Fm-3m (No. 225)
Inequivalent atoms, fractional coordinates:
Cs: 0.250 0.250 0.250
K: 0.000 0.000 0.000
Pr: 0.000 0.000 0.500
I: 0.000 0.000 0.258

# 3
First-principles (meta-GGA SCAN) data for a PBEsol-optimized structure of CsKTe2I, as listed in Alexandria.

Energy above the lowest structure with this stoichiometry (kJ/mol of formula units): 0
Calculated density (g cm⁻³): 3.63

abc: 6.285 6.285 6.414
angles: 90.00 90.00 90.00
Space group P4/mmm (No. 123)
Inequivalent atoms, fractional coordinates:
Cs: 0.000 0.000 0.000
K: 0.500 0.500 0.500
Te: 0.000 0.500 0.500
I: 0.500 0.500 0.000

# 4
First-principles (meta-GGA SCAN) data for a PBEsol-optimized structure of CsKTe2I, as listed in Alexandria.

Energy above the lowest structure with this stoichiometry (kJ/mol of formula units): 140
Calculated density (g cm⁻³): 3.28

abc: 6.350 6.350 6.965
angles: 90.00 90.00 90.00
Space group P4/mmm (No. 123)
Inequivalent atoms, fractional coordinates:
Cs: 0.000 0.000 0.000
K: 0.500 0.500 0.500
Te: 0.000 0.500 0.000
I: 0.000 0.000 0.500

# 5
First-principles (meta-GGA SCAN) data for a PBEsol-optimized structure of Cs3LaI6, as listed in Alexandria.

Calculated density (g cm⁻³): 4.56

abc: 10.462 10.462 8.649
angles: 90.00 90.00 90.00
Space group P4_2/m (No. 84)
Inequivalent atoms, fractional coordinates:
Cs: 0.000 0.000 0.000
Cs: 0.231 0.592 0.000
La: 0.000 0.500 0.500
I: 0.067 0.297 0.245
I: 0.288 0.575 0.500

# 6
First-principles (meta-GGA SCAN) data for a PBEsol-optimized structure of CsLaI2N, as listed in Alexandria.

Calculated density (g cm⁻³): 4.95

abc: 6.564 6.564 4.205
angles: 90.00 90.00 90.00
Space group P4/mmm (No. 123)
Inequivalent atoms, fractional coordinates:
Cs: 0.000 0.000 0.000
La: 0.500 0.500 0.500
I: 0.000 0.500 0.500
N: 0.500 0.500 0.000

# 7
First-principles (meta-GGA SCAN) data for a PBEsol-optimized structure of CsLaIN2, as listed in Alexandria.

Calculated density (g cm⁻³): 5.42

abc: 4.587 4.587 6.218
angles: 90.00 90.00 90.00
Space group P4/mmm (No. 123)
Inequivalent atoms, fractional coordinates:
Cs: 0.000 0.000 0.000
La: 0.500 0.500 0.500
I: 0.000 0.000 0.500
N: 0.000 0.500 0.000

# 8
First-principles (meta-GGA SCAN) data for a PBEsol-optimized structure of CsLaI2O, as listed in Alexandria.

Calculated density (g cm⁻³): 4.76

abc: 6.575 6.575 4.370
angles: 90.00 90.00 90.00
Space group P4/mmm (No. 123)
Inequivalent atoms, fractional coordinates:
Cs: 0.000 0.000 0.000
La: 0.500 0.500 0.500
I: 0.000 0.500 0.000
O: 0.000 0.000 0.500

For reference, Fermi-level density of states by record: 0.0 0.0 4.3 7.6 0.0 0.7 2.5 6.5 states/eV per cell.
For reference, total DFT energy (no corrections) by record: -36.445 -36.419 -31.859 -31.569 -39.444 -33.952 -25.919 -32.590 eV per atom.